## AlHg2Cl (PBE)

Data for a relaxed AlHg2Cl crystal.

The calculation puts the density at 7.56 g cm⁻³. As for the offset from the most stable computed form: 0.052 eV per atom. Its total energy is -0.1310 Ry per atom. The calculation puts the formation energy from raw total energies at -0.94 eV/f.u.

The structure belongs to space group Cmmm (No. 65); the cell edges are 4.838, 13.197 and 3.189 Å and the angles 90.00°, 90.00° and 90.00°. The asymmetric unit holds Al at (0.000, 0.000, 0.000), Hg at (0.000, 0.179, 0.500) and Cl at (0.000, 0.500, 0.000).


## Al2HgCl (PBE)

Data for a relaxed Al2HgCl crystal.

The calculation puts the density at 5.46 g cm⁻³. As for the offset from the most stable computed form: 0.229 eV per atom. Its total energy is -0.1703 Ry per atom. The calculation puts the formation energy from raw total energies at 0.36 eV/f.u.

The structure belongs to space group I4/mmm (No. 139); the cell edges are 4.615, 4.615 and 8.282 Å and the angles 90.00°, 90.00° and 90.00°. The asymmetric unit holds Al at (0.000, 0.500, 0.250), Hg at (0.000, 0.000, 0.000) and Cl at (0.000, 0.000, 0.500).